A plane-wave DFT calculation with PBE was carried out for AcTb2TiN4 after structural relaxation.

Cell: 6.327 6.327 11.942 Å, 90.00 90.00 147.86°
Fractional coordinates of all 16 atoms:
Ac  0.093  0.907  0.750
Ac  0.907  0.093  0.250
Tb  0.370  0.630  0.540
Tb  0.370  0.630  0.960
Tb  0.630  0.370  0.040
Tb  0.630  0.370  0.460
Ti  0.170  0.830  0.250
Ti  0.830  0.170  0.750
N  0.000  0.000  0.000
N  0.000  0.000  0.500
N  0.262  0.738  0.123
N  0.262  0.738  0.377
N  0.418  0.582  0.750
N  0.582  0.418  0.250
N  0.738  0.262  0.623
N  0.738  0.262  0.877

Output
space group: Cmcm
density: 8.47 Mg/m³
E_form (uncorrected): -1.443 eV/atom
Fermi-level density of states: 5.3 states/eV per cell
spin magnetization: 0.00 Bohr magnetons per cell